Density functional theory data (PBE) for a relaxed BeZn2NiH crystal.

abc: 4.2896 3.8906 4.2896
angles: 90.00 90.00 90.00
With the nearest neighbours (Å) after each atom.
Fractional coordinates of all 5 atoms:
Zn: 0.5000 0.0000 0.0000  2 Be 2.14
Zn: 0.0000 0.0000 0.5000  2 Be 2.14
Ni: 0.0000 0.5000 0.0000  2 Be 1.95
H: 0.5000 0.5000 0.5000  8 Zn 2.90, 4 Ni 3.03
Be: 0.0000 0.0000 0.0000  2 Ni 1.95, 4 Zn 2.14

The calculation puts the volume at 14.3 Å³ per atom. The magnetic moment comes out at 0.767 μB/f.u. As for the total energy: -2.269 eV/atom.

=====

Density functional theory data (PBE) for a relaxed Zr2BeNiH crystal.

abc: 4.3959 4.3959 3.5050
angles: 90.00 90.00 90.00
With the nearest neighbours (Å) after each atom.
Fractional coordinates of all 5 atoms:
Zr: 0.5000 0.0000 0.0000  2 H 2.20
Zr: 0.0000 0.5000 0.0000  2 H 2.20
Be: 0.5000 0.5000 0.5000  8 Zr 2.81, 4 Ni 3.11
H: 0.0000 0.0000 0.0000  2 Ni 1.75
Ni: 0.0000 0.0000 0.5000  2 H 1.75

The calculation puts the volume at 13.5 Å³ per atom. The magnetic moment comes out at 0.000 μB/f.u. As for the total energy: -6.219 eV/atom.

=====

Density functional theory data (PBE) for a relaxed NpBeH crystal.

abc: 3.3261 3.4171 5.4065
angles: 90.00 107.91 90.00
With the nearest neighbours (Å) after each atom.
Fractional coordinates of all 6 atoms:
Np: 0.1923 0.2500 0.3846  2 H 2.20
Np: 0.8077 0.7500 0.6154  2 H 2.20
Be: 0.5554 0.7500 0.1107  2 H 1.66
Be: 0.4446 0.2500 0.8893  2 H 1.66
H: 0.0571 0.7500 0.1143  2 Be 1.66
H: 0.9429 0.2500 0.8857  2 Be 1.66

The calculation puts the volume at 9.7 Å³ per atom. The magnetic moment comes out at 0.000 μB/f.u. As for the total energy: -6.536 eV/atom.

=====

Density functional theory data (PBE) for a relaxed NpBe2H7 crystal.

abc: 3.1978 8.6597 5.6931
angles: 139.51 90.00 90.00
With the nearest neighbours (Å) after each atom.
Fractional coordinates of all 10 atoms:
H: 0.0000 0.7068 0.4136  2 Be 1.60
H: 0.0000 0.2932 0.5864  2 Be 1.60
H: 0.5000 0.0381 0.3302  1 Be 1.52
H: 0.5000 0.2921 0.3302  1 Be 1.52
H: 0.5000 0.5000 0.0000  2 Be 1.43
H: 0.5000 0.9619 0.6698  1 Be 1.52
H: 0.5000 0.7079 0.6698  1 Be 1.52
Np: 0.0000 0.0000 0.0000  10 H 2.17-2.29
Be: 0.5000 0.6936 0.3872  5 H 1.43-1.60
Be: 0.5000 0.3064 0.6128  5 H 1.43-1.60

The calculation puts the volume at 10.2 Å³ per atom. The magnetic moment comes out at 4.001 μB/f.u. As for the total energy: -4.400 eV/atom.

=====

Density functional theory data (PBE) for a relaxed NpBe3H12 crystal.

abc: 5.4484 7.3394 7.3394
angles: 120.00 90.00 90.00
With the nearest neighbours (Å) after each atom.
Fractional coordinates of all 32 atoms:
H: 0.7500 0.6722 0.0596  1 Be 1.54
H: 0.0664 0.7599 0.5199  2 Be 1.63
H: 0.5664 0.5199 0.7600  2 Be 1.63
H: 0.4336 0.7600 0.2401  2 Be 1.63
H: 0.7500 0.3874 0.3278  1 Be 1.54
H: 0.5664 0.2400 0.7599  2 Be 1.63
H: 0.2500 0.0596 0.3874  1 Be 1.54
H: 0.4336 0.7599 0.5199  2 Be 1.63
H: 0.9336 0.5199 0.7600  2 Be 1.63
H: 0.2500 0.3271 0.3871  1 Be 1.55
H: 0.4336 0.4801 0.2400  2 Be 1.63
H: 0.2500 0.6129 0.9401  1 Be 1.55
H: 0.9336 0.2400 0.7599  2 Be 1.63
H: 0.2500 0.3278 0.9404  1 Be 1.54
H: 0.0664 0.4801 0.2400  2 Be 1.63
H: 0.2500 0.6126 0.6722  1 Be 1.54
H: 0.7500 0.9401 0.3271  1 Be 1.55
H: 0.0664 0.7600 0.2401  2 Be 1.63
H: 0.2500 0.0599 0.6729  1 Be 1.55
H: 0.7500 0.9404 0.6126  1 Be 1.54
H: 0.7500 0.3871 0.0599  1 Be 1.55
H: 0.9336 0.2401 0.4801  2 Be 1.63
H: 0.5664 0.2401 0.4801  2 Be 1.63
H: 0.7500 0.6729 0.6129  1 Be 1.55
Np: 0.7500 0.6667 0.3333  12 H 2.03-2.09
Np: 0.2500 0.3333 0.6667  12 H 2.03-2.09
Be: 0.7500 0.4402 0.8810  6 H 1.54-1.63
Be: 0.7500 0.1190 0.5592  6 H 1.54-1.63
Be: 0.7500 0.4408 0.5598  6 H 1.54-1.63
Be: 0.2500 0.8810 0.4408  6 H 1.54-1.63
Be: 0.2500 0.5592 0.4402  6 H 1.54-1.63
Be: 0.2500 0.5598 0.1190  6 H 1.54-1.63

The calculation puts the volume at 7.9 Å³ per atom. The magnetic moment comes out at 1.001 μB/f.u. As for the total energy: -3.908 eV/atom.

=====

Density functional theory data (PBE) for a relaxed NpBe2H8 crystal.

abc: 4.1065 4.1068 5.7558
angles: 110.99 90.00 120.00
With the nearest neighbours (Å) after each atom.
Fractional coordinates of all 11 atoms:
H: 0.9150 0.3603 0.8067  1 Be 1.45
H: 0.4447 0.8894 0.8067  1 Be 1.45
H: 0.4453 0.3603 0.8067  1 Be 1.45
H: 0.1325 0.2650 0.3984  1 Be 1.42
H: 0.5547 0.6397 0.1933  1 Be 1.45
H: 0.5553 0.1106 0.1933  1 Be 1.45
H: 0.0850 0.6397 0.1933  1 Be 1.45
H: 0.8675 0.7350 0.6016  1 Be 1.42
Be: 0.7781 0.5562 0.3312  4 H 1.42-1.45
Be: 0.2219 0.4438 0.6688  4 H 1.42-1.45
Np: 0.0000 0.0000 0.0000  14 H 2.09-2.29

The calculation puts the volume at 7.0 Å³ per atom. The magnetic moment comes out at 3.000 μB/f.u. As for the total energy: -4.365 eV/atom.

=====

Density functional theory data (PBE) for a relaxed NpBe2H8Pd crystal.

abc: 4.4104 4.4104 6.5670
angles: 90.00 90.00 120.00
With the nearest neighbours (Å) after each atom.
Fractional coordinates of all 12 atoms:
H: 0.1540 0.8460 0.7868  1 Be 1.43
H: 0.8460 0.6919 0.2132  1 Be 1.43
H: 0.3333 0.6667 0.4943  1 Be 1.52
H: 0.6667 0.3333 0.5057  1 Be 1.52
H: 0.6919 0.8460 0.7868  1 Be 1.43
H: 0.8460 0.1540 0.2132  1 Be 1.43
H: 0.3081 0.1540 0.2132  1 Be 1.43
H: 0.1540 0.3081 0.7868  1 Be 1.43
Be: 0.6667 0.3333 0.2741  4 H 1.43-1.52
Be: 0.3333 0.6667 0.7259  4 H 1.43-1.52
Pd: 0.0000 0.0000 0.0000  6 H 1.83
Np: 0.0000 0.0000 0.5000  6 H 2.22

The calculation puts the volume at 9.2 Å³ per atom. The magnetic moment comes out at 3.595 μB/f.u. As for the total energy: -4.375 eV/atom.

=====

Density functional theory data (PBE) for a relaxed NpBe2H8Rh crystal.

abc: 4.4321 4.4321 6.4594
angles: 90.00 90.00 120.00
With the nearest neighbours (Å) after each atom.
Fractional coordinates of all 12 atoms:
H: 0.3049 0.1524 0.1970  1 Be 1.43
H: 0.6667 0.3333 0.4821  1 Be 1.52
H: 0.1524 0.3049 0.8030  1 Be 1.43
H: 0.3333 0.6667 0.5179  1 Be 1.52
H: 0.8476 0.1524 0.1970  1 Be 1.43
H: 0.1524 0.8476 0.8030  1 Be 1.43
H: 0.8476 0.6951 0.1970  1 Be 1.43
H: 0.6951 0.8476 0.8030  1 Be 1.43
Np: 0.0000 0.0000 0.5000  6 H 2.28
Be: 0.6667 0.3333 0.2471  4 H 1.43-1.52
Be: 0.3333 0.6667 0.7529  4 H 1.43-1.52
Rh: 0.0000 0.0000 0.0000  6 H 1.73

The calculation puts the volume at 9.2 Å³ per atom. The magnetic moment comes out at 5.443 μB/f.u. As for the total energy: -4.549 eV/atom.

=====

Density functional theory data (PBE) for a relaxed NpBeSiH crystal.

abc: 3.8846 3.8846 4.0081
angles: 90.00 90.00 120.00
With the nearest neighbours (Å) after each atom.
Fractional coordinates of all 4 atoms:
H: 0.2386 0.4772 0.2485  1 Be 1.59
Np: 0.5719 0.1438 0.3283  3 H 2.27
Be: 0.2386 0.4772 0.8520  1 H 1.59
Si: 0.9052 0.8105 0.8103  3 Be 2.25

The calculation puts the volume at 13.1 Å³ per atom. The magnetic moment comes out at 3.950 μB/f.u. As for the total energy: -6.670 eV/atom.

=====

Density functional theory data (PBE) for a relaxed Be2HO crystal.

abc: 3.3759 3.3759 3.3759
angles: 60.00 60.00 60.00
With the nearest neighbours (Å) after each atom.
Fractional coordinates of all 4 atoms:
O: 0.5000 0.5000 0.5000  8 Be 2.07
Be: 0.7500 0.7500 0.7500  4 O 2.07, 4 H 2.07
Be: 0.2500 0.2500 0.2500  4 O 2.07, 4 H 2.07
H: 0.0000 0.0000 0.0000  8 Be 2.07

The value obtained for the energy above the lowest structure with this stoichiometry is 0.8687 eV/atom. The calculation puts the volume at 6.8 Å³ per atom. The magnetic moment comes out at 0.000 μB/f.u.

=====

Density functional theory data (PBE) for a relaxed BeHO crystal.

abc: 2.6865 3.4535 3.8290
angles: 82.16 69.46 67.11
With the nearest neighbours (Å) after each atom.
Fractional coordinates of all 3 atoms:
O: 0.6135 0.0000 0.7731  2 Be 1.48
Be: 0.0264 0.0000 0.9472  2 O 1.48
H: 0.3602 0.0000 0.2797  2 Be 1.80, 1 O 1.82

The calculation puts the volume at 10.2 Å³ per atom. The magnetic moment comes out at 0.000 μB/f.u. As for the total energy: -4.555 eV/atom.